Entry 1:
# La2CdBi | Alexandria | PBE | relaxed
data_La2CdBi
_chemical_formula_sum 'La8 Cd4 Bi4'
_symmetry_space_group_name_H-M 'F m -3 m'
_symmetry_Int_Tables_number 225
_symmetry_space_group_name_Hall '-F 4 2 3'
_cell_length_a 7.957
_cell_length_b 7.957
_cell_length_c 7.957
_cell_angle_alpha 90.00
_cell_angle_beta 90.00
_cell_angle_gamma 90.00
loop_
_atom_site_label
_atom_site_type_symbol
_atom_site_fract_x
_atom_site_fract_y
_atom_site_fract_z
_atom_site_occupancy
La1 La 0.250 0.250 0.250 1
Cd1 Cd 0.000 0.000 0.000 1
Bi1 Bi 0.000 0.000 0.500 1
# formation enthalpy at 0 K	-12.9	kcal/mol of atoms
# E	-67.6	eV/cell
# density of states at the Fermi level	14.3	states/eV per cell

Entry 2:
# LaCdBi2 | Alexandria | PBE | relaxed
data_LaCdBi2
_chemical_formula_sum 'La2 Cd2 Bi4'
_symmetry_space_group_name_H-M 'P 4/n m m'
_symmetry_Int_Tables_number 129
_cell_length_a 4.676
_cell_length_b 4.676
_cell_length_c 11.018
_cell_angle_alpha 90.00
_cell_angle_beta 90.00
_cell_angle_gamma 90.00
loop_
_symmetry_equiv_pos_as_xyz
'x,y,z'
'-x,-y,-z'
'-y+1/2,x,z'
'y+1/2,-x,-z'
'-x+1/2,-y+1/2,z'
'x+1/2,y+1/2,-z'
'y,-x+1/2,z'
'-y,x+1/2,-z'
'x+1/2,-y,-z'
'-x+1/2,y,z'
'-y,-x,-z'
'y,x,z'
'-x,y+1/2,-z'
'x,-y+1/2,z'
'y+1/2,x+1/2,-z'
'-y+1/2,-x+1/2,z'
loop_
_atom_site_label
_atom_site_type_symbol
_atom_site_fract_x
_atom_site_fract_y
_atom_site_fract_z
_atom_site_occupancy
La1 La 0.250 0.250 0.234 1
Cd1 Cd 0.250 0.750 0.500 1
Bi1 Bi 0.250 0.250 0.705 1
Bi2 Bi 0.250 0.750 0.000 1
# formation enthalpy at 0 K	-12.4	kcal/mol of atoms
# E	-31.5	eV/cell
# density of states at the Fermi level	4.8	states/eV per cell

Entry 3:
# La2Cd2Bi | Alexandria | PBE | relaxed
data_La2Cd2Bi
_chemical_formula_sum 'La4 Cd4 Bi2'
_symmetry_space_group_name_H-M 'I 4/m m m'
_symmetry_Int_Tables_number 139
_symmetry_space_group_name_Hall '-I 4 2'
_cell_length_a 4.153
_cell_length_b 4.153
_cell_length_c 18.609
_cell_angle_alpha 90.00
_cell_angle_beta 90.00
_cell_angle_gamma 90.00
loop_
_atom_site_label
_atom_site_type_symbol
_atom_site_fract_x
_atom_site_fract_y
_atom_site_fract_z
_atom_site_occupancy
La1 La 0.000 0.000 0.096 1
Cd1 Cd 0.000 0.500 0.250 1
Bi1 Bi 0.000 0.000 0.500 1
# formation enthalpy at 0 K	-8.8	kcal/mol of atoms
# E	-35.0	eV/cell
# density of states at the Fermi level	8.1	states/eV per cell

Entry 4:
# LaCdBi3 | Alexandria | PBE | relaxed
data_LaCdBi3
_chemical_formula_sum 'La1 Cd1 Bi3'
_symmetry_space_group_name_H-M 'P m -3 m'
_symmetry_Int_Tables_number 221
_symmetry_space_group_name_Hall '-P 4 2 3'
_cell_length_a 5.641
_cell_length_b 5.641
_cell_length_c 5.641
_cell_angle_alpha 90.00
_cell_angle_beta 90.00
_cell_angle_gamma 90.00
loop_
_atom_site_label
_atom_site_type_symbol
_atom_site_fract_x
_atom_site_fract_y
_atom_site_fract_z
_atom_site_occupancy
La1 La 0.000 0.000 0.000 1
Cd1 Cd 0.500 0.500 0.500 1
Bi1 Bi 0.000 0.500 0.500 1
# formation enthalpy at 0 K	2.6	kcal/mol of atoms
# E	-16.9	eV/cell
# density of states at the Fermi level	4.2	states/eV per cell

Entry 5:
# LaCdBi3 | Alexandria | PBE | relaxed
data_LaCdBi3
_chemical_formula_sum 'La1 Cd1 Bi3'
_symmetry_space_group_name_H-M 'P m -3 m'
_symmetry_Int_Tables_number 221
_symmetry_space_group_name_Hall '-P 4 2 3'
_cell_length_a 6.185
_cell_length_b 6.185
_cell_length_c 6.185
_cell_angle_alpha 90.00
_cell_angle_beta 90.00
_cell_angle_gamma 90.00
loop_
_atom_site_label
_atom_site_type_symbol
_atom_site_fract_x
_atom_site_fract_y
_atom_site_fract_z
_atom_site_occupancy
La1 La 0.000 0.000 0.000 1
Cd1 Cd 0.500 0.500 0.500 1
Bi1 Bi 0.000 0.000 0.500 1
# formation enthalpy at 0 K	10.7	kcal/mol of atoms
# E	-15.2	eV/cell
# density of states at the Fermi level	4.9	states/eV per cell

Entry 6:
# La6Cd5Bi | Alexandria | PBE | relaxed
data_La6Cd5Bi
_chemical_formula_sum 'La12 Cd10 Bi2'
_symmetry_space_group_name_H-M 'I m m m'
_symmetry_Int_Tables_number 71
_symmetry_space_group_name_Hall '-I 2 2'
_cell_length_a 5.608
_cell_length_b 7.828
_cell_length_c 16.882
_cell_angle_alpha 90.00
_cell_angle_beta 90.00
_cell_angle_gamma 90.00
loop_
_atom_site_label
_atom_site_type_symbol
_atom_site_fract_x
_atom_site_fract_y
_atom_site_fract_z
_atom_site_occupancy
La1 La 0.000 0.248 0.000 1
La2 La 0.000 0.251 0.333 1
Cd1 Cd 0.000 0.000 0.175 1
Cd2 Cd 0.000 0.000 0.500 1
Cd3 Cd 0.000 0.500 0.166 1
Bi1 Bi 0.000 0.500 0.500 1
# formation enthalpy at 0 K	-9.8	kcal/mol of atoms
# E	-86.2	eV/cell
# density of states at the Fermi level	30.0	states/eV per cell

Entry 7:
# La3CdBi | Alexandria | PBE | relaxed
data_La3CdBi
_chemical_formula_sum 'La3 Cd1 Bi1'
_symmetry_space_group_name_H-M 'P m -3 m'
_symmetry_Int_Tables_number 221
_symmetry_space_group_name_Hall '-P 4 2 3'
_cell_length_a 5.896
_cell_length_b 5.896
_cell_length_c 5.896
_cell_angle_alpha 90.00
_cell_angle_beta 90.00
_cell_angle_gamma 90.00
loop_
_atom_site_label
_atom_site_type_symbol
_atom_site_fract_x
_atom_site_fract_y
_atom_site_fract_z
_atom_site_occupancy
La1 La 0.000 0.000 0.500 1
Cd1 Cd 0.000 0.000 0.000 1
Bi1 Bi 0.500 0.500 0.500 1
# formation enthalpy at 0 K	0.8	kcal/mol of atoms
# E	-19.4	eV/cell
# density of states at the Fermi level	3.0	states/eV per cell

Entry 8:
# La2CdBi4 | Alexandria | PBE | relaxed
data_La2CdBi4
_chemical_formula_sum 'La2 Cd1 Bi4'
_symmetry_space_group_name_H-M 'P -4 m 2'
_symmetry_Int_Tables_number 115
_cell_length_a 4.654
_cell_length_b 4.654
_cell_length_c 10.605
_cell_angle_alpha 90.00
_cell_angle_beta 90.00
_cell_angle_gamma 90.00
loop_
_symmetry_equiv_pos_as_xyz
'x,y,z'
'y,-x,-z'
'-x,-y,z'
'-y,x,-z'
'-x,y,z'
'-y,-x,-z'
'x,-y,z'
'y,x,-z'
loop_
_atom_site_label
_atom_site_type_symbol
_atom_site_fract_x
_atom_site_fract_y
_atom_site_fract_z
_atom_site_occupancy
La1 La 0.000 0.500 0.248 1
Cd1 Cd 0.000 0.000 0.500 1
Bi1 Bi 0.000 0.000 0.000 1
Bi2 Bi 0.000 0.500 0.677 1
Bi3 Bi 0.500 0.500 0.000 1
# formation enthalpy at 0 K	-14.4	kcal/mol of atoms
# E	-30.7	eV/cell
# density of states at the Fermi level	2.8	states/eV per cell

Entry 9:
# LaCd2Bi | Alexandria | PBE | relaxed
data_LaCd2Bi
_chemical_formula_sum 'La4 Cd8 Bi4'
_symmetry_space_group_name_H-M 'I -4 2 d'
_symmetry_Int_Tables_number 122
_symmetry_space_group_name_Hall 'I -4 2bw'
_cell_length_a 8.828
_cell_length_b 8.828
_cell_length_c 6.407
_cell_angle_alpha 90.00
_cell_angle_beta 90.00
_cell_angle_gamma 90.00
loop_
_atom_site_label
_atom_site_type_symbol
_atom_site_fract_x
_atom_site_fract_y
_atom_site_fract_z
_atom_site_occupancy
La1 La 0.000 0.000 0.000 1
Cd1 Cd 0.224 0.250 0.625 1
Bi1 Bi 0.000 0.000 0.500 1
# formation enthalpy at 0 K	-5.9	kcal/mol of atoms
# E	-46.7	eV/cell
# density of states at the Fermi level	2.8	states/eV per cell

Entry 10:
# La2CdBi | Alexandria | PBE | relaxed
data_La2CdBi
_chemical_formula_sum 'La2 Cd1 Bi1'
_symmetry_space_group_name_H-M 'P 4/m m m'
_symmetry_Int_Tables_number 123
_symmetry_space_group_name_Hall '-P 4 2'
_cell_length_a 4.200
_cell_length_b 4.200
_cell_length_c 7.167
_cell_angle_alpha 90.00
_cell_angle_beta 90.00
_cell_angle_gamma 90.00
loop_
_atom_site_label
_atom_site_type_symbol
_atom_site_fract_x
_atom_site_fract_y
_atom_site_fract_z
_atom_site_occupancy
La1 La 0.000 0.000 0.247 1
Cd1 Cd 0.500 0.500 0.500 1
Bi1 Bi 0.500 0.500 0.000 1
# formation enthalpy at 0 K	-14.4	kcal/mol of atoms
# E	-17.1	eV/cell
# density of states at the Fermi level	2.9	states/eV per cell

Entry 11:
# La8CdBi5 | Alexandria | PBE | relaxed
data_La8CdBi5
_chemical_formula_sum 'La16 Cd2 Bi10'
_symmetry_space_group_name_H-M 'I -4'
_symmetry_Int_Tables_number 82
_cell_length_a 9.834
_cell_length_b 9.834
_cell_length_c 9.945
_cell_angle_alpha 90.00
_cell_angle_beta 90.00
_cell_angle_gamma 90.00
loop_
_symmetry_equiv_pos_as_xyz
'x,y,z'
'y,-x,-z'
'-x,-y,z'
'-y,x,-z'
'x+1/2,y+1/2,z+1/2'
'y+1/2,-x+1/2,-z+1/2'
'-x+1/2,-y+1/2,z+1/2'
'-y+1/2,x+1/2,-z+1/2'
loop_
_atom_site_label
_atom_site_type_symbol
_atom_site_fract_x
_atom_site_fract_y
_atom_site_fract_z
_atom_site_occupancy
La1 La 0.070 0.178 0.303 1
La2 La 0.076 0.321 0.946 1
Cd1 Cd 0.000 0.500 0.250 1
Bi1 Bi 0.000 0.000 0.000 1
Bi2 Bi 0.123 0.252 0.625 1
# formation enthalpy at 0 K	-18.3	kcal/mol of atoms
# E	-141.8	eV/cell
# density of states at the Fermi level	30.2	states/eV per cell

Entry 12:
# LaCdBi2 | Alexandria | PBE | relaxed
data_LaCdBi2
_chemical_formula_sum 'La4 Cd4 Bi8'
_symmetry_space_group_name_H-M 'I -4 2 d'
_symmetry_Int_Tables_number 122
_symmetry_space_group_name_Hall 'I -4 2bw'
_cell_length_a 8.475
_cell_length_b 8.475
_cell_length_c 7.212
_cell_angle_alpha 90.00
_cell_angle_beta 90.00
_cell_angle_gamma 90.00
loop_
_atom_site_label
_atom_site_type_symbol
_atom_site_fract_x
_atom_site_fract_y
_atom_site_fract_z
_atom_site_occupancy
La1 La 0.000 0.000 0.000 1
Cd1 Cd 0.000 0.000 0.500 1
Bi1 Bi 0.219 0.750 0.625 1
# formation enthalpy at 0 K	-8.3	kcal/mol of atoms
# E	-60.1	eV/cell
# density of states at the Fermi level	10.6	states/eV per cell

Entry 13:
# La2CdBi | Alexandria | PBE | relaxed
data_La2CdBi
_chemical_formula_sum 'La8 Cd4 Bi4'
_symmetry_space_group_name_H-M 'I -4 2 d'
_symmetry_Int_Tables_number 122
_symmetry_space_group_name_Hall 'I -4 2bw'
_cell_length_a 8.755
_cell_length_b 8.755
_cell_length_c 7.242
_cell_angle_alpha 90.00
_cell_angle_beta 90.00
_cell_angle_gamma 90.00
loop_
_atom_site_label
_atom_site_type_symbol
_atom_site_fract_x
_atom_site_fract_y
_atom_site_fract_z
_atom_site_occupancy
La1 La 0.250 0.250 0.125 1
Cd1 Cd 0.000 0.000 0.000 1
Bi1 Bi 0.000 0.000 0.500 1
# formation enthalpy at 0 K	-8.3	kcal/mol of atoms
# E	-64.4	eV/cell
# density of states at the Fermi level	19.6	states/eV per cell

Entry 14:
# La2Cd2Bi | Alexandria | PBE | relaxed
data_La2Cd2Bi
_chemical_formula_sum 'La4 Cd4 Bi2'
_symmetry_space_group_name_H-M 'P 4/m b m'
_symmetry_Int_Tables_number 127
_symmetry_space_group_name_Hall '-P 4 2ab'
_cell_length_a 8.037
_cell_length_b 8.037
_cell_length_c 4.793
_cell_angle_alpha 90.00
_cell_angle_beta 90.00
_cell_angle_gamma 90.00
loop_
_atom_site_label
_atom_site_type_symbol
_atom_site_fract_x
_atom_site_fract_y
_atom_site_fract_z
_atom_site_occupancy
La1 La 0.170 0.330 0.000 1
Cd1 Cd 0.126 0.626 0.500 1
Bi1 Bi 0.000 0.000 0.500 1
# formation enthalpy at 0 K	-10.0	kcal/mol of atoms
# E	-35.5	eV/cell
# density of states at the Fermi level	15.4	states/eV per cell

Entry 15:
# LaCdBi2 | Alexandria | PBE | relaxed
data_LaCdBi2
_chemical_formula_sum 'La1 Cd1 Bi2'
_symmetry_space_group_name_H-M 'P 4/m m m'
_symmetry_Int_Tables_number 123
_symmetry_space_group_name_Hall '-P 4 2'
_cell_length_a 5.118
_cell_length_b 5.118
_cell_length_c 4.536
_cell_angle_alpha 90.00
_cell_angle_beta 90.00
_cell_angle_gamma 90.00
loop_
_atom_site_label
_atom_site_type_symbol
_atom_site_fract_x
_atom_site_fract_y
_atom_site_fract_z
_atom_site_occupancy
La1 La 0.000 0.000 0.000 1
Cd1 Cd 0.500 0.500 0.000 1
Bi1 Bi 0.000 0.500 0.500 1
# formation enthalpy at 0 K	-12.5	kcal/mol of atoms
# E	-15.8	eV/cell
# density of states at the Fermi level	2.6	states/eV per cell

Entry 16:
# LaCd3Bi3 | Alexandria | PBE | relaxed
data_LaCd3Bi3
_chemical_formula_sum 'La2 Cd6 Bi6'
_symmetry_space_group_name_H-M 'P -1'
_symmetry_Int_Tables_number 2
_cell_length_a 4.641
_cell_length_b 9.171
_cell_length_c 11.904
_cell_angle_alpha 71.15
_cell_angle_beta 78.86
_cell_angle_gamma 75.45
loop_
_symmetry_equiv_pos_as_xyz
'x,y,z'
'-x,-y,-z'
loop_
_atom_site_label
_atom_site_type_symbol
_atom_site_fract_x
_atom_site_fract_y
_atom_site_fract_z
_atom_site_occupancy
La1 La 0.246 0.250 0.259 1
Cd1 Cd 0.183 0.619 0.016 1
Cd2 Cd 0.186 0.045 0.583 1
Cd3 Cd 0.447 0.850 0.252 1
Bi1 Bi 0.093 0.953 0.865 1
Bi2 Bi 0.369 0.450 0.810 1
Bi3 Bi 0.376 0.723 0.523 1
# formation enthalpy at 0 K	-5.9	kcal/mol of atoms
# E	-42.2	eV/cell
# density of states at the Fermi level	3.2	states/eV per cell

Entry 17:
# La2Cd2Bi | Alexandria | PBE | relaxed
data_La2Cd2Bi
_chemical_formula_sum 'La4 Cd4 Bi2'
_symmetry_space_group_name_H-M 'I 4/m m m'
_symmetry_Int_Tables_number 139
_symmetry_space_group_name_Hall '-I 4 2'
_cell_length_a 6.238
_cell_length_b 6.238
_cell_length_c 8.634
_cell_angle_alpha 90.00
_cell_angle_beta 90.00
_cell_angle_gamma 90.00
loop_
_atom_site_label
_atom_site_type_symbol
_atom_site_fract_x
_atom_site_fract_y
_atom_site_fract_z
_atom_site_occupancy
La1 La 0.000 0.500 0.250 1
Cd1 Cd 0.000 0.000 0.151 1
Bi1 Bi 0.000 0.000 0.500 1
# formation enthalpy at 0 K	-2.7	kcal/mol of atoms
# E	-32.3	eV/cell
# density of states at the Fermi level	8.8	states/eV per cell

Entry 18:
# La2CdBi | Alexandria | PBE | relaxed
data_La2CdBi
_chemical_formula_sum 'La6 Cd3 Bi3'
_symmetry_space_group_name_H-M 'R -3 m'
_symmetry_Int_Tables_number 166
_symmetry_space_group_name_Hall '-R 3 2"'
_cell_length_a 4.5586
_cell_length_b 4.5586
_cell_length_c 24.1760
_cell_angle_alpha 90.00
_cell_angle_beta 90.00
_cell_angle_gamma 120.00
loop_
_atom_site_label
_atom_site_type_symbol
_atom_site_fract_x
_atom_site_fract_y
_atom_site_fract_z
_atom_site_occupancy
La1 La 0.0000 0.0000 0.2461 1
Cd1 Cd 0.0000 0.0000 0.0000 1
Bi1 Bi 0.0000 0.0000 0.5000 1
# formation enthalpy at 0 K	-11.9	kcal/mol of atoms
# E	-50.2	eV/cell
# density of states at the Fermi level	18.9	states/eV per cell

Entry 19:
# La4Cd2Bi | Alexandria | PBE | relaxed
data_La4Cd2Bi
_chemical_formula_sum 'La12 Cd6 Bi3'
_symmetry_space_group_name_H-M 'R -3 m'
_symmetry_Int_Tables_number 166
_symmetry_space_group_name_Hall '-R 3 2"'
_cell_length_a 5.4840
_cell_length_b 5.4840
_cell_length_c 27.2320
_cell_angle_alpha 90.00
_cell_angle_beta 90.00
_cell_angle_gamma 120.00
loop_
_atom_site_label
_atom_site_type_symbol
_atom_site_fract_x
_atom_site_fract_y
_atom_site_fract_z
_atom_site_occupancy
La1 La 0.0000 0.0000 0.1188 1
La2 La 0.0000 0.0000 0.3678 1
Cd1 Cd 0.0000 0.0000 0.2511 1
Bi1 Bi 0.0000 0.0000 0.5000 1
# formation enthalpy at 0 K	-7.1	kcal/mol of atoms
# E	-82.7	eV/cell
# density of states at the Fermi level	28.2	states/eV per cell

Entry 20:
# LaCd2Bi | Alexandria | PBE | relaxed
data_LaCd2Bi
_chemical_formula_sum 'La1 Cd2 Bi1'
_symmetry_space_group_name_H-M 'P 4/m m m'
_symmetry_Int_Tables_number 123
_symmetry_space_group_name_Hall '-P 4 2'
_cell_length_a 4.669
_cell_length_b 4.669
_cell_length_c 5.205
_cell_angle_alpha 90.00
_cell_angle_beta 90.00
_cell_angle_gamma 90.00
loop_
_atom_site_label
_atom_site_type_symbol
_atom_site_fract_x
_atom_site_fract_y
_atom_site_fract_z
_atom_site_occupancy
La1 La 0.000 0.000 0.000 1
Cd1 Cd 0.000 0.500 0.500 1
Bi1 Bi 0.500 0.500 0.000 1
# formation enthalpy at 0 K	-11.2	kcal/mol of atoms
# E	-12.6	eV/cell
# density of states at the Fermi level	1.3	states/eV per cell